1.
{"formula": "LiTcNi", "functional": "PBE", "state": "optimized geometry", "vol_a3_per_atom": 13.9, "e_form_mev_per_atom": 538, "spacegroup": "F-43m", "e_above_lowest_polymorph_kj_per_mol_atoms": 45.8, "lattice_angstrom": [[0.000, 2.752, 2.752], [2.752, 0.000, 2.752], [2.752, 2.752, 0.000]], "species": ["Li", "Tc", "Ni"], "frac_coords": [[0.000, 0.000, 0.000], [0.500, 0.500, 0.500], [0.750, 0.750, 0.750]]}

2.
{"formula": "MnSnSbI2", "functional": "PBE", "state": "optimized geometry", "vol_a3_per_atom": 42.1, "spacegroup": "P4/mmm", "e_above_lowest_polymorph_kj_per_mol_atoms": 37.9, "lattice_angstrom": [[5.949, 0.000, 0.000], [0.000, 5.949, 0.000], [0.000, 0.000, 5.945]], "species": ["Mn", "Sn", "Sb", "I", "I"], "frac_coords": [[0.000, 0.000, 0.000], [0.500, 0.500, 0.500], [0.500, 0.500, 0.000], [0.000, 0.500, 0.500], [0.500, 0.000, 0.500]]}

3.
{"formula": "Mg2CuSe", "functional": "PBE", "state": "optimized geometry", "vol_a3_per_atom": 18.9, "spacegroup": "Cmcm", "final_energy_ev_per_cell": -25.39, "lattice_angstrom": [[1.848, -6.463, 0.000], [1.848, 6.463, 0.000], [0.000, 0.000, 6.326]], "species": ["Mg", "Mg", "Mg", "Mg", "Cu", "Cu", "Se", "Se"], "frac_coords": [[0.116, 0.884, 0.509], [0.116, 0.884, 0.991], [0.884, 0.116, 0.009], [0.884, 0.116, 0.491], [0.499, 0.501, 0.250], [0.501, 0.499, 0.750], [0.293, 0.707, 0.750], [0.707, 0.293, 0.250]]}

4.
{"formula": "PrDy2In2Ag2", "functional": "PBE", "state": "optimized geometry", "vol_a3_per_atom": 26.6, "e_form_mev_per_atom": -295, "spacegroup": "R-3m", "lattice_angstrom": [[2.447, 1.413, 8.977], [-2.447, 1.413, 8.977], [0.000, -2.826, 8.977]], "species": ["Pr", "Dy", "Dy", "In", "In", "Ag", "Ag"], "frac_coords": [[0.000, 0.000, 0.000], [0.128, 0.128, 0.128], [0.872, 0.872, 0.872], [0.257, 0.257, 0.257], [0.743, 0.743, 0.743], [0.408, 0.408, 0.408], [0.592, 0.592, 0.592]]}

5.
{"formula": "Pu2BeCuAu6", "functional": "PBE", "state": "optimized geometry", "vol_a3_per_atom": 20.7, "e_form_mev_per_atom": -208, "spacegroup": "P-1", "lattice_angstrom": [[6.120, 0.000, 0.000], [3.007, 5.352, 0.000], [3.020, 1.755, 6.325]], "species": ["Pu", "Pu", "Be", "Cu", "Au", "Au", "Au", "Au", "Au", "Au"], "frac_coords": [[0.206, 0.205, 0.377], [0.794, 0.795, 0.623], [0.000, 0.000, 0.000], [0.500, 0.500, 0.500], [0.239, 0.244, 0.811], [0.246, 0.716, 0.803], [0.286, 0.754, 0.195], [0.714, 0.246, 0.805], [0.754, 0.284, 0.197], [0.761, 0.756, 0.189]]}

6.
{"formula": "Ba4InHgI2", "functional": "PBE", "state": "optimized geometry", "vol_a3_per_atom": 46.2, "spacegroup": "P2/m", "final_energy_ev_per_cell": -20.80, "lattice_angstrom": [[8.372, 0.000, 0.000], [0.000, 4.773, 0.000], [-2.737, 0.000, 9.241]], "species": ["Ba", "Ba", "Ba", "Ba", "In", "Hg", "I", "I"], "frac_coords": [[0.243, 0.000, 0.231], [0.254, 0.500, 0.765], [0.746, 0.500, 0.235], [0.757, 0.000, 0.769], [0.500, 0.000, 0.000], [0.000, 0.500, 0.000], [0.000, 0.000, 0.500], [0.500, 0.500, 0.500]]}